YHfFe2: optimized geometry, PBE-GGA.

abc: 4.564 4.564 4.564
angles: 60.00 60.00 60.00
Sites, in units of the cell vectors:
Hf 0.500 0.500 0.500
Y 0.000 0.000 0.000
Fe 0.250 0.250 0.250
Fe 0.750 0.750 0.750

Its crystal system is cubic. The density comes out at 9365 kg/m3. For the magnetic moment, the calculation gives 0.40 Bohr magnetons per cell. Its formation energy is 14 kJ/mol of formula units. The density of states at the Fermi level comes out at 4.265 states/eV per cell. Its relative energy among the computed polymorphs is 0.0000 eV per atom.

---

Pr4Mg3Ni: optimized geometry, PBE-GGA.

abc: 3.756 3.756 15.734
angles: 90.00 90.00 90.00
Sites, in units of the cell vectors:
Mg 0.500 0.500 0.240
Mg 0.500 0.500 0.500
Mg 0.500 0.500 0.760
Pr 0.000 0.000 0.630
Pr 0.000 0.000 0.370
Pr 0.000 0.000 0.896
Pr 0.000 0.000 0.104
Ni 0.500 0.500 0.000

Its crystal system is tetragonal. The density comes out at 5202 kg/m3. For the magnetic moment, the calculation gives 0.00 Bohr magnetons per cell. Its formation energy is -92 kJ/mol of formula units. The density of states at the Fermi level comes out at 6.340 states/eV per cell.

---

HfInCu3: optimized geometry, PBE-GGA.

abc: 4.644 4.644 4.644
angles: 90.00 90.00 90.00
Sites, in units of the cell vectors:
Cu 0.000 0.000 0.500
Cu 0.000 0.500 0.000
Cu 0.500 0.000 0.000
Hf 0.500 0.500 0.500
In 0.000 0.000 0.000

Its crystal system is cubic. The density comes out at 8024 kg/m3. For the magnetic moment, the calculation gives 0.00 Bohr magnetons per cell. Its formation energy is 433 kJ/mol of formula units. The density of states at the Fermi level comes out at 4.567 states/eV per cell. Its relative energy among the computed polymorphs is 0.0000 eV per atom.

---

ScSi2Hg: optimized geometry, PBE-GGA.

abc: 7.202 4.278 3.931
angles: 89.93 57.03 126.28
Sites, in units of the cell vectors:
Sc 0.500 0.500 0.000
Si 0.000 0.000 0.000
Si 0.500 0.000 0.500
Hg 0.000 0.500 0.500

Its crystal system is monoclinic. The density comes out at 6964 kg/m3. For the magnetic moment, the calculation gives 0.00 Bohr magnetons per cell. Its formation energy from raw total energies is -115 meV per atom. The density of states at the Fermi level comes out at 1.734 states/eV per cell.

---

PmNd2YTe6: optimized geometry, PBE-GGA.

abc: 7.891 7.891 8.468
angles: 62.23 62.23 60.00
Sites, in units of the cell vectors:
Te 0.717 0.105 0.756
Te 0.105 0.422 0.756
Te 0.422 0.717 0.756
Te 0.597 0.222 0.252
Te 0.222 0.929 0.252
Te 0.929 0.597 0.252
Nd 0.513 0.513 0.460
Nd 0.012 0.012 0.964
Y 0.323 0.323 0.031
Pm 0.822 0.822 0.535

Its crystal system is trigonal. The density comes out at 5556 kg/m3. For the magnetic moment, the calculation gives 0.00 Bohr magnetons per cell. Its formation energy from raw total energies is -1382 meV per atom.

---

TlAgSb2: optimized geometry, PBE-GGA.

abc: 10.411 10.411 10.411
angles: 19.18 19.18 19.18
Sites, in units of the cell vectors:
Tl 0.250 0.250 0.250
Sb 0.012 0.012 0.012
Sb 0.488 0.488 0.488
Ag 0.750 0.750 0.750

Its crystal system is trigonal. The density comes out at 8663 kg/m3. For the magnetic moment, the calculation gives 0.00 Bohr magnetons per cell. Its formation energy from raw total energies is 129 meV per atom. The density of states at the Fermi level comes out at 2.413 states/eV per cell.

---

NdDy6Ho2Mg: optimized geometry, PBE-GGA.

abc: 6.621 10.838 10.838
angles: 125.12 86.03 86.03
Sites, in units of the cell vectors:
Ho 0.997 0.344 0.176
Ho 0.003 0.656 0.824
Ho 0.503 0.824 0.656
Ho 0.497 0.176 0.344
Dy 0.215 0.569 0.087
Dy 0.981 0.310 0.481
Dy 0.715 0.087 0.569
Dy 0.019 0.690 0.519
Dy 0.785 0.431 0.913
Dy 0.481 0.481 0.310
Dy 0.038 0.074 0.786
Dy 0.462 0.214 0.926
Dy 0.962 0.926 0.214
Dy 0.519 0.519 0.690
Dy 0.538 0.786 0.074
Dy 0.285 0.913 0.431
Mg 0.250 0.292 0.708
Mg 0.750 0.708 0.292
Nd 0.750 0.011 0.989
Nd 0.250 0.989 0.011

Its crystal system is monoclinic. The density comes out at 7779 kg/m3. For the magnetic moment, the calculation gives 0.00 Bohr magnetons per cell. Its formation energy is 112 kJ/mol of formula units. The density of states at the Fermi level comes out at 31.145 states/eV per cell.

---

TlAsPd: optimized geometry, PBE-GGA.

abc: 4.535 4.534 7.118
angles: 87.95 87.92 98.66
Sites, in units of the cell vectors:
Tl 0.323 0.375 0.270
Tl 0.805 0.858 0.569
Pd 0.769 0.411 0.920
Pd 0.358 0.822 0.920
As 0.266 0.318 0.771
As 0.861 0.914 0.068

Its crystal system is monoclinic. The density comes out at 8866 kg/m3. For the magnetic moment, the calculation gives 0.00 Bohr magnetons per cell. Its formation energy is -69 kJ/mol of formula units. The density of states at the Fermi level comes out at 1.853 states/eV per cell. Its relative energy among the computed polymorphs is 0.0000 eV per atom.

---

Ir3C2: optimized geometry, PBE-GGA.

abc: 7.824 6.193 5.512
angles: 83.68 51.88 44.44
Sites, in units of the cell vectors:
Ir 0.013 0.825 0.472
Ir 0.778 0.559 0.237
Ir 0.361 0.139 0.139
Ir 0.691 0.472 0.825
Ir 0.111 0.889 0.889
Ir 0.425 0.237 0.559
C 0.424 0.415 0.899
C 0.262 0.899 0.415
C 0.835 0.826 0.988
C 0.351 0.988 0.826

Its crystal system is orthorhombic. The density comes out at 16952 kg/m3. For the magnetic moment, the calculation gives 0.00 Bohr magnetons per cell. Its formation energy is 324 kJ/mol of formula units. The density of states at the Fermi level comes out at 2.347 states/eV per cell. Its relative energy among the computed polymorphs is 0.0000 eV per atom.

---

BaCa2PbF8: optimized geometry, PBE-GGA.

abc: 4.101 5.932 8.157
angles: 90.00 90.00 89.95
Sites, in units of the cell vectors:
F 0.999 0.273 0.758
F 0.501 0.734 0.000
F 0.499 0.278 0.500
F 0.499 0.266 0.000
F 0.001 0.727 0.758
F 0.001 0.727 0.242
F 0.501 0.722 0.500
F 0.999 0.273 0.242
Ba 0.000 0.000 0.500
Pb 0.000 0.000 0.000
Ca 0.500 0.500 0.245
Ca 0.500 0.500 0.755

Its crystal system is orthorhombic. The density comes out at 4825 kg/m3. For the magnetic moment, the calculation gives 0.00 Bohr magnetons per cell. Its formation energy from raw total energies is -3501 meV per atom. The density of states at the Fermi level comes out at 0.000 states/eV per cell.

---

Ac2La2Nd5: optimized geometry, PBE-GGA.

abc: 3.674 10.288 14.946
angles: 141.44 97.06 90.00
Sites, in units of the cell vectors:
Nd 0.834 0.440 0.668
Nd 0.000 0.000 0.000
Nd 0.672 0.881 0.345
Nd 0.328 0.119 0.655
Nd 0.166 0.560 0.332
La 0.177 0.231 0.354
La 0.823 0.769 0.646
Ac 0.504 0.696 0.008
Ac 0.496 0.304 0.992

Its crystal system is monoclinic. The density comes out at 6988 kg/m3. For the magnetic moment, the calculation gives 0.00 Bohr magnetons per cell. Its formation energy is 111 kJ/mol of formula units. The density of states at the Fermi level comes out at 14.573 states/eV per cell. Its relative energy among the computed polymorphs is 0.0000 eV per atom.